Entry A
## SrAs2WSe (PBE)

Data for SrAs2WSe after structural relaxation.

Unit cell a=4.8600 b=4.8600 c=5.3768 alpha=90.00 beta=90.00 gamma=90.00
Space group P4/mmm (No. 123)
Symmetry-distinct sites (fractional):
Sr: 0.0000 0.0000 0.0000 (multiplicity 1)
As: 0.0000 0.5000 0.5000 (multiplicity 2)
W: 0.5000 0.5000 0.5000 (multiplicity 1)
Se: 0.5000 0.5000 0.0000 (multiplicity 1)

Calculated values
Fermi-level density of states: 0.4188 states/eV per atom
density: 6.5 g cm⁻³

Entry B
## SrAs2WSe (PBE)

Data for SrAs2WSe after structural relaxation.

Unit cell a=4.7582 b=4.7582 c=6.5560 alpha=90.00 beta=90.00 gamma=90.00
Space group P4/mmm (No. 123)
Symmetry-distinct sites (fractional):
Sr: 0.0000 0.0000 0.0000 (multiplicity 1)
As: 0.0000 0.5000 0.5000 (multiplicity 2)
W: 0.0000 0.0000 0.5000 (multiplicity 1)
Se: 0.5000 0.5000 0.0000 (multiplicity 1)

Calculated values
Fermi-level density of states: 0.7529 states/eV per atom
density: 5.6 g cm⁻³

Entry C
## SrAs2WSe (PBE)

Data for SrAs2WSe after structural relaxation.

Unit cell a=5.3267 b=5.3267 c=5.3736 alpha=90.00 beta=90.00 gamma=90.00
Space group P4/mmm (No. 123)
Symmetry-distinct sites (fractional):
Sr: 0.0000 0.0000 0.0000 (multiplicity 1)
As: 0.0000 0.5000 0.0000 (multiplicity 2)
W: 0.5000 0.5000 0.5000 (multiplicity 1)
Se: 0.0000 0.0000 0.5000 (multiplicity 1)

Calculated values
Fermi-level density of states: 2.6928 states/eV per atom
density: 5.4 g cm⁻³

Name the least stable of them. entry C.

Entry A
## SrZnAs2Se (PBE)

Data for SrZnAs2Se after structural relaxation.

Unit cell a=5.8014 b=5.8014 c=5.6736 alpha=90.00 beta=90.00 gamma=90.00
Space group P4/mmm (No. 123)
Symmetry-distinct sites (fractional):
Sr: 0.0000 0.0000 0.0000 (multiplicity 1)
Zn: 0.5000 0.5000 0.5000 (multiplicity 1)
As: 0.0000 0.5000 0.0000 (multiplicity 2)
Se: 0.0000 0.0000 0.5000 (multiplicity 1)

Calculated values
Fermi-level density of states: 1.3404 states/eV per atom
density: 3.3 g cm⁻³

Entry B
## SrZnAs2Se (PBE)

Data for SrZnAs2Se after structural relaxation.

Unit cell a=4.8405 b=4.8405 c=5.3995 alpha=90.00 beta=90.00 gamma=90.00
Space group P4/mmm (No. 123)
Symmetry-distinct sites (fractional):
Sr: 0.0000 0.0000 0.0000 (multiplicity 1)
Zn: 0.5000 0.5000 0.5000 (multiplicity 1)
As: 0.0000 0.5000 0.5000 (multiplicity 2)
Se: 0.5000 0.5000 0.0000 (multiplicity 1)

Calculated values
Fermi-level density of states: 0.7874 states/eV per atom
density: 5.0 g cm⁻³

Name the least stable of them. entry A.

Entry A
## SrZnAsSe2 (PBE)

Data for SrZnAsSe2 after structural relaxation.

Unit cell a=5.2340 b=5.2340 c=4.6848 alpha=90.00 beta=90.00 gamma=90.00
Space group P4/mmm (No. 123)
Symmetry-distinct sites (fractional):
Sr: 0.0000 0.0000 0.0000 (multiplicity 1)
Zn: 0.5000 0.5000 0.5000 (multiplicity 1)
As: 0.5000 0.5000 0.0000 (multiplicity 1)
Se: 0.0000 0.5000 0.5000 (multiplicity 2)

Calculated values
Fermi-level density of states: 0.6481 states/eV per atom
density: 5.0 g cm⁻³

Entry B
## SrZnAsSe2 (PBE)

Data for SrZnAsSe2 after structural relaxation.

Unit cell a=5.8319 b=5.8319 c=6.0431 alpha=90.00 beta=90.00 gamma=90.00
Space group P4/mmm (No. 123)
Symmetry-distinct sites (fractional):
Sr: 0.0000 0.0000 0.0000 (multiplicity 1)
Zn: 0.5000 0.5000 0.5000 (multiplicity 1)
As: 0.0000 0.0000 0.5000 (multiplicity 1)
Se: 0.0000 0.5000 0.0000 (multiplicity 2)

Calculated values
Fermi-level density of states: 1.7277 states/eV per atom
density: 3.1 g cm⁻³

Name the least stable of them. entry B.

Entry A
## TaAs3Se (PBE)

Data for TaAs3Se after structural relaxation.

Unit cell a=4.8356 b=4.8356 c=4.8356 alpha=90.00 beta=90.00 gamma=90.00
Space group Pm-3m (No. 221)
Symmetry-distinct sites (fractional):
Ta: 0.0000 0.0000 0.0000 (multiplicity 1)
As: 0.0000 0.5000 0.5000 (multiplicity 3)
Se: 0.5000 0.5000 0.5000 (multiplicity 1)

Calculated values
Fermi-level density of states: 1.1357 states/eV per atom
density: 7.1 g cm⁻³

Entry B
## TaAs3Se (PBE)

Data for TaAs3Se after structural relaxation.

Unit cell a=4.9882 b=4.9882 c=4.9882 alpha=90.00 beta=90.00 gamma=90.00
Space group Pm-3m (No. 221)
Symmetry-distinct sites (fractional):
Ta: 0.0000 0.0000 0.0000 (multiplicity 1)
As: 0.0000 0.0000 0.5000 (multiplicity 3)
Se: 0.5000 0.5000 0.5000 (multiplicity 1)

Calculated values
Fermi-level density of states: 0.8929 states/eV per atom
density: 6.5 g cm⁻³

Name the least stable of them. entry A.

Entry A
## TaTcAsSe2 (PBE)

Data for TaTcAsSe2 after structural relaxation.

Unit cell a=4.9692 b=4.9692 c=5.0967 alpha=90.00 beta=90.00 gamma=90.00
Space group P4/mmm (No. 123)
Symmetry-distinct sites (fractional):
Ta: 0.0000 0.0000 0.0000 (multiplicity 1)
Tc: 0.5000 0.5000 0.5000 (multiplicity 1)
As: 0.0000 0.0000 0.5000 (multiplicity 1)
Se: 0.0000 0.5000 0.0000 (multiplicity 2)

Calculated values
Fermi-level density of states: 0.5403 states/eV per atom
density: 6.8 g cm⁻³

Entry B
## TaTcAsSe2 (PBE)

Data for TaTcAsSe2 after structural relaxation.

Unit cell a=4.8242 b=4.8242 c=4.7067 alpha=90.00 beta=90.00 gamma=90.00
Space group P4/mmm (No. 123)
Symmetry-distinct sites (fractional):
Ta: 0.0000 0.0000 0.0000 (multiplicity 1)
Tc: 0.5000 0.5000 0.5000 (multiplicity 1)
As: 0.5000 0.5000 0.0000 (multiplicity 1)
Se: 0.0000 0.5000 0.5000 (multiplicity 2)

Calculated values
Fermi-level density of states: 1.6725 states/eV per atom
density: 7.8 g cm⁻³

Name the least stable of them. entry B.

Entry A
## TaTeAsSe2 (PBE)

Data for TaTeAsSe2 after structural relaxation.

Unit cell a=4.9200 b=4.9200 c=5.3281 alpha=90.00 beta=90.00 gamma=90.00
Space group P4/mmm (No. 123)
Symmetry-distinct sites (fractional):
Ta: 0.0000 0.0000 0.0000 (multiplicity 1)
Te: 0.5000 0.5000 0.5000 (multiplicity 1)
As: 0.0000 0.0000 0.5000 (multiplicity 1)
Se: 0.0000 0.5000 0.0000 (multiplicity 2)

Calculated values
Fermi-level density of states: 0.8694 states/eV per atom
density: 7.0 g cm⁻³

Entry B
## TaTeAsSe2 (PBE)

Data for TaTeAsSe2 after structural relaxation.

Unit cell a=5.2055 b=5.2055 c=5.1942 alpha=90.00 beta=90.00 gamma=90.00
Space group P4/mmm (No. 123)
Symmetry-distinct sites (fractional):
Ta: 0.0000 0.0000 0.0000 (multiplicity 1)
Te: 0.5000 0.5000 0.5000 (multiplicity 1)
As: 0.5000 0.5000 0.0000 (multiplicity 1)
Se: 0.0000 0.5000 0.5000 (multiplicity 2)

Calculated values
Fermi-level density of states: 1.0880 states/eV per atom
density: 6.4 g cm⁻³

Name the least stable of them. entry B.

Entry A
## TaZnAsSe2 (PBE)

Data for TaZnAsSe2 after structural relaxation.

Unit cell a=4.9899 b=4.9899 c=5.1429 alpha=90.00 beta=90.00 gamma=90.00
Space group P4/mmm (No. 123)
Symmetry-distinct sites (fractional):
Ta: 0.0000 0.0000 0.0000 (multiplicity 1)
Zn: 0.5000 0.5000 0.5000 (multiplicity 1)
As: 0.0000 0.0000 0.5000 (multiplicity 1)
Se: 0.0000 0.5000 0.0000 (multiplicity 2)

Calculated values
Fermi-level density of states: 0.6602 states/eV per atom
density: 6.2 g cm⁻³

Entry B
## TaZnAsSe2 (PBE)

Data for TaZnAsSe2 after structural relaxation.

Unit cell a=4.7802 b=4.7802 c=4.6782 alpha=90.00 beta=90.00 gamma=90.00
Space group P4/mmm (No. 123)
Symmetry-distinct sites (fractional):
Ta: 0.0000 0.0000 0.0000 (multiplicity 1)
Zn: 0.5000 0.5000 0.5000 (multiplicity 1)
As: 0.5000 0.5000 0.0000 (multiplicity 1)
Se: 0.0000 0.5000 0.5000 (multiplicity 2)

Calculated values
Fermi-level density of states: 1.1417 states/eV per atom
density: 7.4 g cm⁻³

Name the least stable of them. entry B.

Entry A
## ZrTaAsSe2 (PBE)

Data for ZrTaAsSe2 after structural relaxation.

Unit cell a=4.9508 b=4.9508 c=5.0138 alpha=90.00 beta=90.00 gamma=90.00
Space group P4/mmm (No. 123)
Symmetry-distinct sites (fractional):
Zr: 0.0000 0.0000 0.0000 (multiplicity 1)
Ta: 0.5000 0.5000 0.5000 (multiplicity 1)
As: 0.5000 0.5000 0.0000 (multiplicity 1)
Se: 0.0000 0.5000 0.5000 (multiplicity 2)

Calculated values
Fermi-level density of states: 0.8639 states/eV per atom
density: 6.8 g cm⁻³

Entry B
## ZrTaAsSe2 (PBE)

Data for ZrTaAsSe2 after structural relaxation.

Unit cell a=5.0751 b=5.0751 c=5.1891 alpha=90.00 beta=90.00 gamma=90.00
Space group P4/mmm (No. 123)
Symmetry-distinct sites (fractional):
Zr: 0.0000 0.0000 0.0000 (multiplicity 1)
Ta: 0.5000 0.5000 0.5000 (multiplicity 1)
As: 0.0000 0.0000 0.5000 (multiplicity 1)
Se: 0.0000 0.5000 0.0000 (multiplicity 2)

Calculated values
Fermi-level density of states: 0.7856 states/eV per atom
density: 6.3 g cm⁻³

Name the least stable of them. entry B.

Entry A
## TcAsSe2 (PBE)

Data for TcAsSe2 after structural relaxation.

Unit cell a=4.6615 b=4.6615 c=3.1738 alpha=90.00 beta=90.00 gamma=90.00
Space group P4/mmm (No. 123)
Symmetry-distinct sites (fractional):
Tc: 0.0000 0.0000 0.0000 (multiplicity 1)
As: 0.5000 0.5000 0.0000 (multiplicity 1)
Se: 0.0000 0.5000 0.5000 (multiplicity 2)

Calculated values
Fermi-level density of states: 0.8989 states/eV per atom
density: 8.0 g cm⁻³

Entry B
## TcAsSe2 (PBE)

Data for TcAsSe2 after structural relaxation.

Unit cell a=6.3272 b=6.3272 c=9.7125 alpha=90.00 beta=90.00 gamma=90.00
Space group I-42d (No. 122)
Symmetry-distinct sites (fractional):
Tc: 0.0000 0.0000 0.0000 (multiplicity 4)
As: 0.0000 0.0000 0.5000 (multiplicity 4)
Se: 0.2088 0.2500 0.1250 (multiplicity 8)

Calculated values
Fermi-level density of states: 0.2221 states/eV per atom
density: 5.7 g cm⁻³

Name the least stable of them. entry A.

Entry A
## TcAsSe2 (PBE)

Data for TcAsSe2 after structural relaxation.

Unit cell a=5.2871 b=7.5003 c=7.5312 alpha=90.00 beta=90.00 gamma=90.00
Space group Fmmm (No. 69)
Symmetry-distinct sites (fractional):
Tc: 0.0000 0.0000 0.0000 (multiplicity 4)
As: 0.0000 0.0000 0.5000 (multiplicity 4)
Se: 0.0000 0.2500 0.2500 (multiplicity 8)

Calculated values
Fermi-level density of states: 0.8385 states/eV per atom
density: 7.4 g cm⁻³

Entry B
## TcAsSe2 (PBE)

Data for TcAsSe2 after structural relaxation.

Unit cell a=4.2590 b=4.2590 c=7.5957 alpha=90.00 beta=90.00 gamma=90.00
Space group I-4m2 (No. 119)
Symmetry-distinct sites (fractional):
Tc: 0.0000 0.0000 0.0000 (multiplicity 2)
As: 0.0000 0.5000 0.7500 (multiplicity 2)
Se: 0.0000 0.0000 0.5000 (multiplicity 2)
Se: 0.0000 0.5000 0.2500 (multiplicity 2)

Calculated values
Fermi-level density of states: 0.6157 states/eV per atom
density: 8.0 g cm⁻³

Name the least stable of them. entry B.

Entry A
## TcAsSe2 (PBE)

Data for TcAsSe2 after structural relaxation.

Unit cell a=3.0618 b=4.9442 c=10.0193 alpha=90.00 beta=90.00 gamma=90.00
Space group Cmmm (No. 65)
Symmetry-distinct sites (fractional):
Tc: 0.0000 0.0000 0.0000 (multiplicity 2)
As: 0.0000 0.0000 0.5000 (multiplicity 2)
Se: 0.0000 0.5000 0.2051 (multiplicity 4)

Calculated values
Fermi-level density of states: 0.8980 states/eV per atom
density: 7.2 g cm⁻³

Entry B
## TcAsSe2 (PBE)

Data for TcAsSe2 after structural relaxation.

Unit cell a=6.4916 b=6.4916 c=6.4916 alpha=90.00 beta=90.00 gamma=90.00
Space group Fm-3m (No. 225)
Symmetry-distinct sites (fractional):
Tc: 0.0000 0.0000 0.0000 (multiplicity 4)
As: 0.0000 0.0000 0.5000 (multiplicity 4)
Se: 0.2500 0.2500 0.2500 (multiplicity 8)

Calculated values
Fermi-level density of states: 1.0527 states/eV per atom
density: 8.0 g cm⁻³

Entry C
## TcAsSe2 (PBE)

Data for TcAsSe2 after structural relaxation.

Unit cell a=3.2985 b=3.2985 c=26.1850 alpha=90.00 beta=90.00 gamma=120.00
Space group R3m (No. 160, hexagonal axes)
Symmetry-distinct sites (fractional):
Tc: 0.0000 0.0000 0.0000 (multiplicity 3)
As: 0.0000 0.0000 0.7399 (multiplicity 3)
Se: 0.0000 0.0000 0.2738 (multiplicity 3)
Se: 0.0000 0.0000 0.4747 (multiplicity 3)

Calculated values
Fermi-level density of states: 0.8954 states/eV per atom
density: 6.7 g cm⁻³

Name the least stable of them. entry A.

Entry A
## TcAsSe2 (PBE)

Data for TcAsSe2 after structural relaxation.

Unit cell a=3.1114 b=4.3333 c=11.8853 alpha=90.00 beta=90.00 gamma=90.00
Space group Immm (No. 71)
Symmetry-distinct sites (fractional):
Tc: 0.0000 0.0000 0.0000 (multiplicity 2)
As: 0.0000 0.0000 0.5000 (multiplicity 2)
Se: 0.0000 0.5000 0.3271 (multiplicity 4)

Calculated values
Fermi-level density of states: 0.6533 states/eV per atom
density: 6.9 g cm⁻³

Entry B
## TcAsSe2 (PBE)

Data for TcAsSe2 after structural relaxation.

Unit cell a=2.8228 b=2.8228 c=38.0285 alpha=90.00 beta=90.00 gamma=120.00
Space group R-3m (No. 166, hexagonal axes)
Symmetry-distinct sites (fractional):
Tc: 0.0000 0.0000 0.0000 (multiplicity 3)
As: 0.0000 0.0000 0.5000 (multiplicity 3)
Se: 0.0000 0.0000 0.0652 (multiplicity 6)

Calculated values
Fermi-level density of states: 0.9278 states/eV per atom
density: 6.3 g cm⁻³

Entry C
## TcAsSe2 (PBE)

Data for TcAsSe2 after structural relaxation.

Unit cell a=3.2471 b=4.3753 c=5.0194 alpha=90.00 beta=90.00 gamma=90.00
Space group Pmmm (No. 47)
Symmetry-distinct sites (fractional):
Tc: 0.0000 0.0000 0.0000 (multiplicity 1)
As: 0.5000 0.0000 0.5000 (multiplicity 1)
Se: 0.0000 0.5000 0.5000 (multiplicity 1)
Se: 0.5000 0.5000 0.0000 (multiplicity 1)

Calculated values
Fermi-level density of states: 0.9913 states/eV per atom
density: 7.7 g cm⁻³

Entry D
## TcAsSe2 (PBE)

Data for TcAsSe2 after structural relaxation.

Unit cell a=3.1780 b=3.1780 c=25.8229 alpha=90.00 beta=90.00 gamma=120.00
Space group R-3m (No. 166, hexagonal axes)
Symmetry-distinct sites (fractional):
Tc: 0.0000 0.0000 0.0000 (multiplicity 3)
As: 0.0000 0.0000 0.5000 (multiplicity 3)
Se: 0.0000 0.0000 0.2647 (multiplicity 6)

Calculated values
Fermi-level density of states: 0.5216 states/eV per atom
density: 7.3 g cm⁻³

Name the least stable of them. entry C.